1.
Here is an optimized crystal structure of Dy3HoCu2 from Alexandria via LeMat-Bulk. Energies are from PBE.

Lattice parameters (Å, degrees): 4.9018 6.8552 8.7011 90.00 90.00 90.00
Element x y z (fractional)
Dy: 0.0000 0.4864 0.9245
Dy: 0.0000 0.9864 0.0755
Dy: 0.5000 0.6442 0.1653
Dy: 0.5000 0.1442 0.8347
Dy: 0.0000 0.3556 0.3354
Dy: 0.0000 0.8556 0.6646
Ho: 0.5000 0.5139 0.5750
Ho: 0.5000 0.0139 0.4250
Cu: 0.5000 0.7387 0.8481
Cu: 0.5000 0.2387 0.1519
Cu: 0.0000 0.2611 0.6509
Cu: 0.0000 0.7611 0.3491

Results
Magnetic moment in μB/f.u.: 0.000
ΔE to the lowest computed polymorph in eV/f.u.: 0.00
Energy of formation from the pure elements in eV per atom: -0.166
Mass density in g/cm3: 8.85
SG: Pmc2_1 (26)

***

2.
Here is an optimized crystal structure of PaAgAu2 from Alexandria via LeMat-Bulk. Energies are from PBE.

Lattice parameters (Å, degrees): 3.1280 3.1280 9.8069 80.82 80.82 60.00
Element x y z (fractional)
Pa: 0.0000 0.0000 0.0000
Au: 0.7539 0.7539 0.7382
Au: 0.2461 0.2461 0.2618
Ag: 0.5000 0.5000 0.5000

Results
Magnetic moment in μB/f.u.: 0.000
ΔE to the lowest computed polymorph in eV/f.u.: 0.68
Energy of formation from the pure elements in eV per atom: -0.112
Mass density in g/cm3: 14.90
SG: R-3m (166)

***

3.
Here is an optimized crystal structure of La2HfMn from Alexandria via LeMat-Bulk. Energies are from PBE.

Lattice parameters (Å, degrees): 5.3711 5.3711 5.3711 60.00 60.00 60.00
Last column: magnetic moment on the atom in μB.
Element x y z (fractional)
Mn: 0.0000 0.0000 0.0000  3.85
Hf: 0.5000 0.5000 0.5000  -0.46
La: 0.2500 0.2500 0.2500  -0.13
La: 0.7500 0.7500 0.7500  -0.13

Results
Magnetic moment in μB/f.u.: 3.042
ΔE to the lowest computed polymorph in eV/f.u.: 0.00
Energy of formation from the pure elements in eV per atom: 0.406
Mass density in g/cm3: 7.75
SG: Fm-3m (225)

***

4.
Here is an optimized crystal structure of Nd2CuPdO6 from Alexandria via LeMat-Bulk. Energies are from PBE.

Lattice parameters (Å, degrees): 5.4962 5.8721 7.7008 90.00 90.18 90.00
Last column: magnetic moment on the atom in μB.
Element x y z (fractional)
Nd: 0.0194 0.9273 0.2503  0.00
Nd: 0.5194 0.5727 0.7503  0.00
Nd: 0.9806 0.0727 0.7497  0.00
Nd: 0.4806 0.4273 0.2497  0.00
Cu: 0.5000 0.0000 0.0000  0.55
Cu: 0.0000 0.5000 0.5000  0.55
Pd: 0.5000 0.0000 0.5000  0.01
Pd: 0.0000 0.5000 0.0000  0.01
O: 0.3043 0.6967 0.0506  0.05
O: 0.8043 0.8033 0.5506  0.05
O: 0.6957 0.3033 0.9494  0.05
O: 0.1957 0.1967 0.4494  0.05
O: 0.3073 0.7011 0.4500  0.07
O: 0.8073 0.7989 0.9500  0.07
O: 0.6927 0.2989 0.5500  0.07
O: 0.1927 0.2011 0.0500  0.07
O: 0.8974 0.5324 0.2547  0.09
O: 0.3974 0.9676 0.7547  0.09
O: 0.1026 0.4676 0.7453  0.09
O: 0.6026 0.0324 0.2453  0.09

Results
Magnetic moment in μB/f.u.: 1.039
Uncorrected formation energy in eV per atom: -1.94
Mass density in g/cm3: 7.41
SG: P2_1/c (14)

***

5.
Here is an optimized crystal structure of CaCuSn2Pt4 from Alexandria via LeMat-Bulk. Energies are from PBE.

Lattice parameters (Å, degrees): 4.4939 4.4939 9.0977 75.70 75.70 60.00
Element x y z (fractional)
Ca: 0.0000 0.0000 0.0000
Cu: 0.5000 0.5000 0.5000
Sn: 0.7571 0.7571 0.7286
Sn: 0.2429 0.2429 0.2714
Pt: 0.4023 0.4023 0.7932
Pt: 0.8641 0.8641 0.4076
Pt: 0.1359 0.1359 0.5924
Pt: 0.5977 0.5977 0.2068

Results
Magnetic moment in μB/f.u.: 0.000
Energy of formation from the pure elements in eV per atom: -0.525
Mass density in g/cm3: 12.21
SG: R-3m (166)

***

6.
Here is an optimized crystal structure of VNiPt2 from Alexandria via LeMat-Bulk. Energies are from PBE.

Lattice parameters (Å, degrees): 4.2951 4.2951 4.2951 60.00 60.00 60.00
Last column: magnetic moment on the atom in μB.
Element x y z (fractional)
Ni: 0.5000 0.5000 0.5000  -0.14
Pt: 0.2500 0.2500 0.2500  0.06
Pt: 0.7500 0.7500 0.7500  0.06
V: 0.0000 0.0000 0.0000  0.46

Results
Magnetic moment in μB/f.u.: 0.499
Energy of formation from the pure elements in eV per atom: -0.277
Mass density in g/cm3: 14.81
SG: Fm-3m (225)

***

7.
Here is an optimized crystal structure of YZrP4 from Alexandria via LeMat-Bulk. Energies are from PBE.

Lattice parameters (Å, degrees): 5.2687 5.2687 5.2687 60.00 60.00 60.00
Element x y z (fractional)
Y: 0.7500 0.7500 0.7500
Zr: 0.0000 0.0000 0.0000
P: 0.8796 0.3735 0.3735
P: 0.3735 0.3735 0.8796
P: 0.3735 0.8796 0.3735
P: 0.3735 0.3735 0.3735

Results
Magnetic moment in μB/f.u.: 0.000
Energy of formation from the pure elements in eV per atom: -0.089
Mass density in g/cm3: 4.88
SG: F-43m (216)

***

8.
Here is an optimized crystal structure of PuHfCdIn from Alexandria via LeMat-Bulk. Energies are from PBE.

Lattice parameters (Å, degrees): 5.1570 5.1570 5.1570 60.00 60.00 60.00
Last column: magnetic moment on the atom in μB.
Element x y z (fractional)
Cd: 0.2500 0.2500 0.2500  0.03
In: 0.7500 0.7500 0.7500  -0.03
Hf: 0.0000 0.0000 0.0000  0.44
Pu: 0.5000 0.5000 0.5000  5.42

Results
Magnetic moment in μB/f.u.: 6.491
Energy of formation from the pure elements in eV per atom: 0.058
Mass density in g/cm3: 11.13
SG: F-43m (216)

***

9.
Here is an optimized crystal structure of Zn4AsP from Alexandria via LeMat-Bulk. Energies are from PBE.

Lattice parameters (Å, degrees): 4.9820 6.4764 7.4226 91.25 109.61 90.00
Element x y z (fractional)
Zn: 0.2142 0.2102 0.3133
Zn: 0.0990 0.7101 0.3133
Zn: 0.5836 0.0139 0.2004
Zn: 0.6168 0.5139 0.2004
Zn: 0.4164 0.9861 0.7996
Zn: 0.3832 0.4861 0.7996
Zn: 0.7858 0.7898 0.6867
Zn: 0.9010 0.2898 0.6867
As: 0.2091 0.7500 0.0000
As: 0.7909 0.2500 0.0000
P: 0.5000 0.5000 0.5000
P: 0.0000 0.0000 0.5000

Results
Magnetic moment in μB/f.u.: 0.000
ΔE to the lowest computed polymorph in eV/f.u.: 0.00
Energy of formation from the pure elements in eV per atom: 0.027
Mass density in g/cm3: 5.41
SG: C2/c (15)

***

10.
Here is an optimized crystal structure of TbHoInIr from Alexandria via LeMat-Bulk. Energies are from PBE.

Lattice parameters (Å, degrees): 5.0757 5.0757 5.0757 60.00 60.00 60.00
Element x y z (fractional)
Ir: 0.0000 0.0000 0.0000
Tb: 0.2500 0.2500 0.2500
Ho: 0.7500 0.7500 0.7500
In: 0.5000 0.5000 0.5000

Results
Magnetic moment in μB/f.u.: 0.000
Energy of formation from the pure elements in eV per atom: -0.552
Mass density in g/cm3: 11.33
SG: F-43m (216)

***

11.
Here is an optimized crystal structure of MnHN from Alexandria via LeMat-Bulk. Energies are from PBE.

Lattice parameters (Å, degrees): 3.5582 2.6382 4.5759 90.00 115.35 90.00
Element x y z (fractional)
Mn: 0.0879 0.0000 0.4528
Mn: 0.0879 0.5000 0.9528
H: 0.8252 0.0000 0.0323
H: 0.8252 0.5000 0.5323
N: 0.4490 0.0000 0.2402
N: 0.4490 0.5000 0.7402

Results
Magnetic moment in μB/f.u.: 0.000
ΔE to the lowest computed polymorph in eV/f.u.: 0.43
Mass density in g/cm3: 5.98
SG: R3m (160)

***

12.
Here is an optimized crystal structure of RbCd2NiAu from Alexandria via LeMat-Bulk. Energies are from PBE.

Lattice parameters (Å, degrees): 5.1061 5.1061 5.1400 90.00 90.00 90.00
Element x y z (fractional)
Ni: 0.0000 0.0000 0.0000
Au: 0.0000 0.0000 0.5000
Rb: 0.5000 0.5000 0.5000
Cd: 0.0000 0.5000 0.0000
Cd: 0.5000 0.0000 0.0000

Results
Magnetic moment in μB/f.u.: 0.000
Energy of formation from the pure elements in eV per atom: 0.005
Mass density in g/cm3: 7.01
SG: P4/mmm (123)

***

Values of DOS at the Fermi energy, in order: 12.31, 2.53, 2.62, 5.67, 2.82, 4.37, 4.84, 9.56, 3.17, 2.58, 2.27, 2.20, all in states/eV per cell.